The following is a DFT calculation (PBE) of an optimized crystal structure of FePd.

abc: 6.515 6.515 6.515
angles: 109.47 109.47 109.47
Fractional positions:
Fe: 0.000 0.000 0.760
Fe: 0.000 0.760 0.000
Fe: 0.240 0.240 0.240
Fe: 0.760 0.000 0.000
Pd: 0.000 0.000 0.385
Pd: 0.000 0.385 0.000
Pd: 0.385 0.000 0.000
Pd: 0.615 0.615 0.615

Calculated values
The formation energy is 1.097 eV/atom.



The following is a DFT calculation (PBE) of an optimized crystal structure of DyMnPdPt.

abc: 4.706 4.706 4.706
angles: 60.00 60.00 60.00
Fractional positions:
Dy: 0.000 0.000 0.000
Mn: 0.500 0.500 0.500
Pd: 0.250 0.250 0.250
Pt: 0.750 0.750 0.750

Calculated values
The formation energy is -0.653 eV/atom.



The following is a DFT calculation (PBE) of an optimized crystal structure of La3PuO8.

abc: 6.422 6.422 7.095
angles: 90.00 90.00 123.52
Fractional positions:
La: 0.000 0.000 0.000
La: 0.000 0.500 0.761
La: 0.500 0.000 0.239
Pu: 0.000 0.000 0.500
O: 0.178 0.822 0.500
O: 0.192 0.244 0.714
O: 0.207 0.793 0.000
O: 0.244 0.192 0.286
O: 0.756 0.808 0.286
O: 0.793 0.207 0.000
O: 0.808 0.756 0.714
O: 0.822 0.178 0.500

Calculated values
For the raw formation energy, the calculation gives -2.947 eV/atom.



The following is a DFT calculation (PBE) of an optimized crystal structure of Na2TmCd.

abc: 12.451 12.451 12.451
angles: 15.34 15.34 15.34
Fractional positions:
Na: 0.091 0.091 0.091
Na: 0.909 0.909 0.909
Tm: 0.000 0.000 0.000
Cd: 0.500 0.500 0.500

Calculated values
The formation energy is 0.189 eV/atom.



The following is a DFT calculation (PBE) of an optimized crystal structure of Pa2InPtN5.

abc: 6.658 6.658 10.860
angles: 90.00 90.00 149.03
Fractional positions:
Pa: 0.091 0.909 0.500
Pa: 0.154 0.846 0.100
Pa: 0.846 0.154 0.600
Pa: 0.909 0.091 0.000
In: 0.209 0.791 0.810
In: 0.791 0.209 0.310
Pt: 0.482 0.518 0.271
Pt: 0.518 0.482 0.771
N: 0.065 0.935 0.916
N: 0.267 0.733 0.513
N: 0.328 0.672 0.189
N: 0.374 0.626 0.862
N: 0.471 0.529 0.594
N: 0.529 0.471 0.094
N: 0.626 0.374 0.362
N: 0.672 0.328 0.689
N: 0.733 0.267 0.013
N: 0.935 0.065 0.416

Calculated values
For the raw formation energy, the calculation gives -0.568 eV/atom.



The following is a DFT calculation (PBE) of an optimized crystal structure of TbNd8Co2.

abc: 7.497 7.497 7.335
angles: 107.20 107.20 67.77
Fractional positions:
Tb: 0.000 0.000 0.000
Nd: 0.128 0.128 0.687
Nd: 0.192 0.586 0.684
Nd: 0.323 0.323 0.177
Nd: 0.414 0.808 0.316
Nd: 0.586 0.192 0.684
Nd: 0.677 0.677 0.823
Nd: 0.808 0.414 0.316
Nd: 0.872 0.872 0.313
Co: 0.189 0.189 0.388
Co: 0.811 0.811 0.612

Calculated values
The formation energy is 0.094 eV/atom.



The following is a DFT calculation (PBE) of an optimized crystal structure of RbSrTl2Br8.

abc: 7.378 7.378 10.621
angles: 90.00 90.00 120.00
Fractional positions:
Rb: 0.000 0.000 0.000
Sr: 0.000 0.000 0.500
Tl: 0.333 0.667 0.755
Tl: 0.667 0.333 0.245
Br: 0.028 0.693 0.316
Br: 0.307 0.334 0.316
Br: 0.333 0.667 0.006
Br: 0.334 0.028 0.684
Br: 0.666 0.972 0.316
Br: 0.667 0.333 0.994
Br: 0.693 0.666 0.684
Br: 0.972 0.307 0.684

Calculated values
For the raw formation energy, the calculation gives -1.054 eV/atom.



The following is a DFT calculation (PBE) of an optimized crystal structure of Pu2ScF11.

abc: 8.395 8.395 8.395
angles: 120.27 106.49 102.24
Fractional positions:
Pu: 0.183 0.157 0.339
Pu: 0.317 0.657 0.974
Pu: 0.683 0.343 0.026
Pu: 0.817 0.843 0.661
Sc: 0.250 0.750 0.500
Sc: 0.750 0.250 0.500
F: 0.000 0.000 0.000
F: 0.025 0.441 0.754
F: 0.073 0.851 0.641
F: 0.187 0.941 0.416
F: 0.208 0.870 0.079
F: 0.209 0.431 0.359
F: 0.291 0.649 0.222
F: 0.292 0.370 0.662
F: 0.313 0.728 0.754
F: 0.427 0.069 0.778
F: 0.475 0.228 0.416
F: 0.500 0.500 0.000
F: 0.525 0.772 0.584
F: 0.573 0.931 0.222
F: 0.687 0.272 0.246
F: 0.708 0.630 0.338
F: 0.709 0.351 0.778
F: 0.791 0.569 0.641
F: 0.792 0.130 0.921
F: 0.813 0.059 0.584
F: 0.927 0.149 0.359
F: 0.975 0.559 0.246

Calculated values
For the raw formation energy, the calculation gives -3.519 eV/atom.